Density functional theory data (PBE) for a relaxed InAuC2 crystal.

a b c (Å): 4.959 4.959 6.299
angles (deg): 66.82 66.82 90.00
Positions (direct):
C 0.654 0.125 0.250
C 0.096 0.625 0.250
C 0.375 0.346 0.750
C 0.875 0.904 0.750
Au 0.000 0.000 0.000
Au 0.750 0.250 0.500
In 0.500 0.500 0.000
In 0.250 0.750 0.500

For the total energy, the calculation gives -0.3272 Ry/atom. As for the density: 8.665 g cm⁻³. As for the space group: I-42d. The calculation puts the formation enthalpy at 0 K at 1.665 eV per atom. The calculation puts the size of the total moment at 0.000 μB/cell.

***

Density functional theory data (PBE) for a relaxed InAuC crystal.

a b c (Å): 5.006 5.006 4.159
angles (deg): 90.00 90.00 90.00
Positions (direct):
C 0.000 0.500 0.500
C 0.500 0.000 0.500
Au 0.000 0.500 0.000
Au 0.500 0.000 0.000
In 0.000 0.000 0.500
In 0.500 0.500 0.500

For the total energy, the calculation gives -0.3047 Ry/atom. As for the density: 10.317 g cm⁻³. As for the space group: P4/mmm. The calculation puts the formation enthalpy at 0 K at 0.935 eV per atom. The calculation puts the size of the total moment at 0.000 μB/cell.

***

> What is the total energy in the first record?

-0.3272 Ry/atom